A relaxed structure of BaMnIr2, computed with GGA-PBE.

The calculation puts the energy relative to the elements at 0.58 eV per atom. For the size of the total moment, the calculation gives 3.96 μB per formula unit. As for the energy relative to the lowest polymorph listed for this composition: 626 meV per atom.

It has space group R-3m (No. 166, hexagonal axes), with a = 3.0671 Å, b = 3.0671 Å, c = 28.0311 Å, α = 90.00°, β = 90.00° and γ = 120.00°. The distinct sites, in fractional coordinates, are Ba at (0.0000, 0.0000, 0.0000), Mn at (0.0000, 0.0000, 0.5000) and Ir at (0.0000, 0.0000, 0.2329).

=====

A relaxed structure of Ni4HgTe, computed with GGA-PBE.

For the size of the total moment, the calculation gives 0.00 μB per formula unit. The calculation puts the raw formation energy at 0.2384 eV/atom.

It has space group F-43m (No. 216), with a = 7.040 Å, b = 7.040 Å, c = 7.040 Å, α = 90.00°, β = 90.00° and γ = 90.00°. The distinct sites, in fractional coordinates, are Ni at (0.125, 0.125, 0.125), Hg at (0.250, 0.250, 0.750) and Te at (0.000, 0.000, 0.500).

=====

A relaxed structure of As2HAuBr, computed with GGA-PBE.

For the size of the total moment, the calculation gives 2.22 μB per formula unit. As for the energy relative to the lowest polymorph listed for this composition: 483 meV per atom.

It has space group P4/mmm (No. 123), with a = 5.035 Å, b = 5.035 Å, c = 5.622 Å, α = 90.00°, β = 90.00° and γ = 90.00°. The distinct sites, in fractional coordinates, are As at (0.000, 0.500, 0.000), H at (0.000, 0.000, 0.500), Au at (0.500, 0.500, 0.000) and Br at (0.500, 0.500, 0.500).

=====

A relaxed structure of NaBi, computed with GGA-PBE.

The calculation puts the energy relative to the elements at -0.22 eV per atom. For the size of the total moment, the calculation gives 0.00 μB per formula unit. As for the energy relative to the lowest polymorph listed for this composition: 87 meV per atom.

It has space group P-62m (No. 189), with a = 6.5039 Å, b = 6.5039 Å, c = 5.1560 Å, α = 90.00°, β = 90.00° and γ = 120.00°. The distinct sites, in fractional coordinates, are Na at (0.0000, 0.3544, 0.0000) and Bi at (0.0000, 0.7151, 0.5000).

=====

A relaxed structure of BeH2S, computed with GGA-PBE.

For the size of the total moment, the calculation gives 0.00 μB per formula unit. As for the energy relative to the lowest polymorph listed for this composition: 306 meV per atom.

It has space group Fm-3m (No. 225), with a = 4.916 Å, b = 4.916 Å, c = 4.916 Å, α = 90.00°, β = 90.00° and γ = 90.00°. The distinct sites, in fractional coordinates, are Be at (0.000, 0.000, 0.000), H at (0.250, 0.250, 0.250) and S at (0.000, 0.000, 0.500).

=====

A relaxed structure of Nd4ZnAu7, computed with GGA-PBE.

The calculation puts the energy relative to the elements at -0.64 eV per atom. For the size of the total moment, the calculation gives 0.00 μB per formula unit.

It has space group C2/m (No. 12), with a = 14.858 Å, b = 4.985 Å, c = 9.291 Å, α = 90.00°, β = 121.42° and γ = 90.00°. The distinct sites, in fractional coordinates, are Nd at (0.063, 0.000, 0.251), Nd at (0.229, 0.000, 0.759), Zn at (0.000, 0.500, 0.500), Au at (0.000, 0.000, 0.500), Au at (0.100, 0.500, 0.843), Au at (0.165, 0.000, 0.043) and Au at (0.189, 0.500, 0.491).

=====

A relaxed structure of Tb2UP, computed with GGA-PBE.

The calculation puts the energy relative to the elements at -0.09 eV per atom. For the size of the total moment, the calculation gives 3.95 μB per formula unit.

It has space group R-3m (No. 166, hexagonal axes), with a = 3.6199 Å, b = 3.6199 Å, c = 30.6202 Å, α = 90.00°, β = 90.00° and γ = 120.00°. The distinct sites, in fractional coordinates, are Tb at (0.0000, 0.0000, 0.1112), U at (0.0000, 0.0000, 0.0000) and P at (0.0000, 0.0000, 0.5000).

=====

A relaxed structure of ZrIn2Pt, computed with GGA-PBE.

The calculation puts the energy relative to the elements at -0.24 eV per atom. For the size of the total moment, the calculation gives 0.00 μB per formula unit.

It has space group Cmmm (No. 65), with a = 5.923 Å, b = 9.120 Å, c = 3.061 Å, α = 90.00°, β = 90.00° and γ = 90.00°. The distinct sites, in fractional coordinates, are Zr at (0.000, 0.000, 0.000), In at (0.250, 0.250, 0.500) and Pt at (0.000, 0.500, 0.000).

=====

A relaxed structure of CaPm2Cu9, computed with GGA-PBE.

The calculation puts the energy relative to the elements at -0.13 eV per atom. For the size of the total moment, the calculation gives 0.00 μB per formula unit.

It has space group R-3m (No. 166, hexagonal axes), with a = 5.2242 Å, b = 5.2242 Å, c = 25.2041 Å, α = 90.00°, β = 90.00° and γ = 120.00°. The distinct sites, in fractional coordinates, are Ca at (0.0000, 0.0000, 0.0000), Pm at (0.0000, 0.0000, 0.1409), Cu at (0.0000, 0.0000, 0.3322), Cu at (0.0000, 0.0000, 0.5000) and Cu at (0.0019, 0.5010, 0.0809).

=====

A relaxed structure of Zr5Np3H12, computed with GGA-PBE.

For the size of the total moment, the calculation gives 11.26 μB per formula unit. As for the total energy: -6.3420 eV per atom.

It has space group Ia-3d (No. 230), with a = 12.323 Å, b = 12.323 Å, c = 12.323 Å, α = 90.00°, β = 90.00° and γ = 90.00°. The distinct sites, in fractional coordinates, are Zr at (0.000, 0.000, 0.000), Zr at (0.000, 0.250, 0.375), Np at (0.000, 0.250, 0.125) and H at (0.011, 0.070, 0.651).

=====

A relaxed structure of ReSiTcRu, computed with GGA-PBE.

For the size of the total moment, the calculation gives 0.00 μB per formula unit. The calculation puts the raw formation energy at -0.1666 eV/atom.

It has space group Amm2 (No. 38), with a = 3.969 Å, b = 2.779 Å, c = 10.151 Å, α = 90.00°, β = 90.00° and γ = 90.00°. The distinct sites, in fractional coordinates, are Re at (0.000, 0.000, 0.000), Si at (0.000, 0.000, 0.753), Tc at (0.500, 0.000, 0.360) and Ru at (0.500, 0.000, 0.623).

=====

A relaxed structure of LaMgI5, computed with GGA-PBE.

For the size of the total moment, the calculation gives 0.00 μB per formula unit. As for the energy relative to the lowest polymorph listed for this composition: 1 meV per atom. The calculation puts the raw formation energy at -1.3081 eV/atom.

It has space group Pnma (No. 62), with a = 17.470 Å, b = 4.356 Å, c = 16.263 Å, α = 90.00°, β = 90.00° and γ = 90.00°. The distinct sites, in fractional coordinates, are La at (0.157, 0.250, 0.236), Mg at (0.093, 0.250, 0.745), I at (0.027, 0.750, 0.846), I at (0.053, 0.750, 0.346), I at (0.155, 0.750, 0.095), I at (0.159, 0.750, 0.645) and I at (0.236, 0.250, 0.840).

=====

- Which value of size of the total moment does entry 4 give?
  0.00 μB per formula unit

=====

- The highest size of the total moment belongs to which entry?
  Zr5Np3H12

=====

- Which of these has the highest size of the total moment?
  Zr5Np3H12